A plane-wave DFT calculation with PBE with a Hubbard U was carried out for a relaxed structure of SrFeTe2O6.

Output
calculated volume	19.74	A^3/atom
calculated density	4.16	g/cm3
total energy	-5.83	eV per atom
density of states at the Fermi level	0.000	states/eV per atom
spin magnetization	16.00	Bohr magnetons per cell

abc: 9.2613 13.3997 7.7361
angles: 90.00 124.67 90.00
Closest atoms and distances in Å follow each position.
Space group C2/c (No. 15)
Inequivalent atoms, fractional coordinates:
Sr1 0.0000 0.0519 0.2500 (multiplicity 4)  6 O 2.51-2.65
Fe1 0.0000 0.2175 0.7500 (multiplicity 4)  4 O 1.99-2.16
Te1 0.1523 0.4082 0.1789 (multiplicity 8)  3 O 1.86-1.98
O1 0.0897 0.1061 0.6289 (multiplicity 8)  1 Te 1.98, 1 Fe 2.16
O2 0.1271 0.3097 0.9940 (multiplicity 8)  1 Te 1.86, 1 Fe 1.99
O3 0.1749 0.4738 0.5587 (multiplicity 8)  1 Te 1.90